(1)
Below is PaS2Br after structural relaxation, with properties calculated at the PBE-GGA level.

Energy relative to the elements, uncorrected   -1.388 eV per atom
ΔE to the lowest computed polymorph   0 meV/atom
Symmetry   R3m, No. 160
E_tot   -6.244 eV per atom

abc: 7.6746 7.6746 7.6746
angles: 33.36 33.36 33.36
Positions (direct):
Pa 0.0000 0.0000 0.0000
S 0.3666 0.3666 0.3666
S 0.6114 0.6114 0.6114
Br 0.1267 0.1267 0.1267

***

(2)
Below is Cs2PuOsO6 after structural relaxation, with properties calculated at the PBE-GGA level.

Energy relative to the elements, uncorrected   -1.859 eV per atom
Symmetry   I4/mmm, No. 139
E_tot   -7.561 eV per atom

abc: 7.1695 7.1695 7.1695
angles: 131.57 131.57 70.90
Positions (direct):
Cs 0.2500 0.7500 0.5000
Cs 0.7500 0.2500 0.5000
Pu 0.0000 0.0000 0.0000
Os 0.5000 0.5000 0.0000
O 0.1603 0.1603 0.0000
O 0.2764 0.2764 0.5529
O 0.2764 0.7236 0.0000
O 0.7236 0.2764 0.0000
O 0.7236 0.7236 0.4471
O 0.8397 0.8397 0.0000

***

(3)
Below is LiTc2Ru after structural relaxation, with properties calculated at the PBE-GGA level.

Energy of formation from the pure elements   0.36 eV per atom
ΔE to the lowest computed polymorph   197 meV/atom
Symmetry   P4/mmm, No. 123
E_tot   -7.617 eV per atom

abc: 3.0639 3.0639 5.6834
angles: 90.00 90.00 90.00
Positions (direct):
Li 0.0000 0.0000 0.0000
Tc 0.5000 0.5000 0.2151
Tc 0.5000 0.5000 0.7849
Ru 0.0000 0.0000 0.5000

***

(4)
Below is NiHI2N after structural relaxation, with properties calculated at the PBE-GGA level.

ΔE to the lowest computed polymorph   0 meV/atom
Symmetry   P4/mmm, No. 123
E_tot   -3.200 eV per atom

abc: 5.6129 5.6129 3.4278
angles: 90.00 90.00 90.00
Positions (direct):
Ni 0.0000 0.0000 0.0000
H 0.5000 0.5000 0.5000
I 0.0000 0.5000 0.0000
I 0.5000 0.0000 0.0000
N 0.0000 0.0000 0.5000